No. 1
The following is a GGA-PBE calculation of a relaxed structure of Sn2AsP, from Alexandria via LeMat-Bulk.

- space-group type = Amm2 (38)
- ρ (g/cm³) = 5.9
- total DFT energy (no corrections) (eV/atom) = -4.543
- energy of formation (eV per atom) = -0.026

Cell: 5.568 4.174 4.174 Å, 83.40 90.00 90.00°
Element x y z (fractional)
Sn: 0.000 0.000 0.000
Sn: 0.500 0.476 0.476
As: 0.500 0.913 0.913
P: 0.000 0.421 0.421

=====

No. 2
The following is a GGA-PBE calculation of a relaxed structure of Ag3MoH, from Alexandria via LeMat-Bulk.

- space-group type = Pm-3m (221)
- ρ (g/cm³) = 9.1
- total DFT energy (no corrections) (eV/atom) = -3.733

Cell: 4.254 4.254 4.254 Å, 90.00 90.00 90.00°
Element x y z (fractional)
Ag: 0.000 0.000 0.500
Ag: 0.000 0.500 0.000
Ag: 0.500 0.000 0.000
Mo: 0.500 0.500 0.500
H: 0.000 0.000 0.000

=====

No. 3
The following is a GGA-PBE calculation of a relaxed structure of V2GaNi, from Alexandria via LeMat-Bulk.

- space-group type = I-42d (122)
- ρ (g/cm³) = 6.8
- total DFT energy (no corrections) (eV/atom) = -6.546
- energy of formation (eV per atom) = 0.215

Cell: 5.367 5.367 5.367 Å, 102.29 102.29 125.04°
Element x y z (fractional)
V: 0.100 0.125 0.475
V: 0.375 0.900 0.025
V: 0.650 0.625 0.525
V: 0.875 0.350 0.975
Ga: 0.250 0.750 0.500
Ga: 0.500 0.500 0.000
Ni: 0.000 0.000 0.000
Ni: 0.750 0.250 0.500

=====

No. 4
The following is a GGA-PBE calculation of a relaxed structure of MnFe2AsC, from Alexandria via LeMat-Bulk.

- space-group type = P4/mmm (123)
- ρ (g/cm³) = 7.3
- total DFT energy (no corrections) (eV/atom) = -7.882
- energy of formation (eV per atom) = 0.112

Cell: 3.852 3.852 3.912 Å, 90.00 90.00 90.00°
Element x y z (fractional)
Mn: 0.000 0.000 0.000
Fe: 0.000 0.500 0.500
Fe: 0.500 0.000 0.500
As: 0.500 0.500 0.000
C: 0.000 0.000 0.500

=====

No. 5
The following is a GGA-PBE calculation of a relaxed structure of Be3NiIr, from Alexandria via LeMat-Bulk.

- space-group type = Pm-3m (221)
- ρ (g/cm³) = 6.6
- total DFT energy (no corrections) (eV/atom) = -4.607
- energy of formation (eV per atom) = 0.558

Cell: 4.130 4.130 4.130 Å, 90.00 90.00 90.00°
Element x y z (fractional)
Be: 0.000 0.000 0.500
Be: 0.000 0.500 0.000
Be: 0.500 0.000 0.000
Ni: 0.500 0.500 0.500
Ir: 0.000 0.000 0.000

=====

No. 6
The following is a GGA-PBE calculation of a relaxed structure of LaPmCoPt, from Alexandria via LeMat-Bulk.

- space-group type = F-43m (216)
- ρ (g/cm³) = 10.0
- total DFT energy (no corrections) (eV/atom) = -6.206
- energy of formation (eV per atom) = -0.500

Cell: 5.026 5.026 5.026 Å, 60.00 60.00 60.00°
Element x y z (fractional)
La: 0.000 0.000 0.000
Pm: 0.500 0.500 0.500
Co: 0.750 0.750 0.750
Pt: 0.250 0.250 0.250